A crystal of LaCu2Au2 relaxed with PBEsol, computed with SCAN.

The structure in POSCAR format:
```
LaCu2Au2
1.0
-2.004 2.004 5.951
2.004 -2.004 5.951
2.004 2.004 -5.951
La Cu Au
1 2 2
direct
0.000 0.000 0.000
0.250 0.750 0.500
0.750 0.250 0.500
0.385 0.385 0.000
0.615 0.615 0.000
```

Output
* size of the total moment: 0.00 μB/f.u.
* formation enthalpy at 0 K: -11.58 kcal/mol of atoms